GdHo2Al3Cu2Ni PBE relaxed; VASP energy = -42.60 eV per cell
1.0
3.993 0.000 0.000
0.000 6.051 3.504
0.000 -6.051 3.504
Gd Ho Al Cu Ni
1 2 3 2 1
Direct
0.000 0.000 0.000 Gd
0.000 0.412 0.824 Ho
0.000 0.824 0.412 Ho
0.500 0.183 0.414 Al
0.500 0.414 0.183 Al
0.500 0.642 0.642 Al
0.500 0.080 0.743 Cu
0.500 0.743 0.080 Cu
0.000 0.415 0.415 Ni